No. 1
VASP calculation (GGA-PBE) on a geometry-optimized HfTlP2O8 structure.

Properties
The value obtained for the calculated total energy is -90.49 eV per cell. The calculated volume is 205.4 Å³/cell.

abc: 5.3638 5.3638 8.2456
angles: 90.00 90.00 120.00
Closest atoms and distances in Å follow each position.
Space group P-3 (No. 147)
One atom of each set of equivalent atoms:
1 Hf 0.0000 0.0000 0.0000 x1  6 O 2.05
2 Tl 0.0000 0.0000 0.5000 x1  12 O 3.21-3.35
3 P 0.3333 0.6667 0.2131 x2  4 O 1.53-1.55
4 O 0.1541 0.3557 0.1474 x6  1 P 1.55
5 O 0.3333 0.6667 0.3986 x2  1 P 1.53

***

No. 2
VASP calculation (GGA-PBE) on a geometry-optimized Dy5SbPd2 structure.

Properties
The value obtained for the calculated total energy is -174.67 eV per cell. The calculated volume is 822.5 Å³/cell.

abc: 7.7691 7.7691 13.6265
angles: 90.00 90.00 90.00
Closest atoms and distances in Å follow each position.
Space group I4/mcm (No. 140)
One atom of each set of equivalent atoms:
1 Dy 0.0000 0.0000 0.0000 x4  4 Pd 3.02
2 Dy 0.1565 0.3435 0.1426 x16  3 Pd 2.99-3.00, 2 Sb 3.28
3 Sb 0.0000 0.0000 0.2500 x4  10 Dy 3.28-3.41
4 Pd 0.1360 0.3640 0.5000 x8  1 Pd 2.99, 8 Dy 2.99-3.02

***

Computed E_form (uncorrected), in the same sequence as the records: -2.307 -0.769 eV per atom.